(1)
# Ag4SbAu3, optimized geometry, DFT PBE
# Crystal system ... monoclinic
# Magnetic moment ... 0.00 μB/cell
# Raw total energy ... -24.304 eV/cell
data_Ag4SbAu3
_chemical_formula_sum 'Ag4 Sb1 Au3'
_symmetry_space_group_name_H-M 'P 1'
_symmetry_Int_Tables_number 1
_cell_length_a 12.083
_cell_length_b 12.083
_cell_length_c 4.765
_cell_angle_alpha 99.98
_cell_angle_beta 99.98
_cell_angle_gamma 14.38
loop_
_symmetry_equiv_pos_as_xyz
'x,y,z'
loop_
_atom_site_label
_atom_site_fract_x
_atom_site_fract_y
_atom_site_fract_z
Ag1 0.105 0.105 0.200
Ag2 0.292 0.292 0.707
Ag3 0.708 0.708 0.293
Ag4 0.895 0.895 0.800
Sb1 0.500 0.500 0.000
Au1 0.000 0.000 0.500
Au2 0.175 0.175 0.767
Au3 0.825 0.825 0.233

***

(2)
# B3POs, optimized geometry, DFT PBE
# Crystal system ... cubic
# Magnetic moment ... 0.00 μB/cell
# Raw total energy ... -27.655 eV/cell
# Formation energy ... 1.803 eV/atom
data_B3POs
_chemical_formula_sum 'B3 P1 Os1'
_symmetry_space_group_name_H-M 'P 1'
_symmetry_Int_Tables_number 1
_cell_length_a 3.790
_cell_length_b 3.790
_cell_length_c 3.790
_cell_angle_alpha 90.00
_cell_angle_beta 90.00
_cell_angle_gamma 90.00
loop_
_symmetry_equiv_pos_as_xyz
'x,y,z'
loop_
_atom_site_label
_atom_site_fract_x
_atom_site_fract_y
_atom_site_fract_z
B1 0.000 0.000 0.500
B2 0.000 0.500 0.000
B3 0.500 0.000 0.000
P1 0.000 0.000 0.000
Os1 0.500 0.500 0.500

***

(3)
# PaSF2, optimized geometry, DFT PBE
# Crystal system ... orthorhombic
# Magnetic moment ... 1.10 μB/cell
# Raw total energy ... -57.371 eV/cell
data_PaSF2
_chemical_formula_sum 'Pa2 S2 F4'
_symmetry_space_group_name_H-M 'P 1'
_symmetry_Int_Tables_number 1
_cell_length_a 10.258
_cell_length_b 10.258
_cell_length_c 3.830
_cell_angle_alpha 90.00
_cell_angle_beta 90.00
_cell_angle_gamma 158.52
loop_
_symmetry_equiv_pos_as_xyz
'x,y,z'
loop_
_atom_site_label
_atom_site_fract_x
_atom_site_fract_y
_atom_site_fract_z
Pa1 0.161 0.839 0.750
Pa2 0.839 0.161 0.250
S1 0.369 0.631 0.750
S2 0.631 0.369 0.250
F1 0.060 0.940 0.750
F2 0.250 0.750 0.250
F3 0.750 0.250 0.750
F4 0.940 0.060 0.250

***

(4)
# GaAgSnCl6, optimized geometry, DFT PBE
# Crystal system ... trigonal
# Magnetic moment ... 0.00 μB/cell
# Raw total energy ... -28.674 eV/cell
data_GaAgSnCl6
_chemical_formula_sum 'Ga1 Ag1 Sn1 Cl6'
_symmetry_space_group_name_H-M 'P 1'
_symmetry_Int_Tables_number 1
_cell_length_a 6.680
_cell_length_b 6.680
_cell_length_c 6.076
_cell_angle_alpha 90.00
_cell_angle_beta 90.00
_cell_angle_gamma 120.00
loop_
_symmetry_equiv_pos_as_xyz
'x,y,z'
loop_
_atom_site_label
_atom_site_fract_x
_atom_site_fract_y
_atom_site_fract_z
Ga1 0.000 0.000 0.000
Ag1 0.667 0.333 0.000
Sn1 0.333 0.667 0.500
Cl1 0.297 0.003 0.230
Cl2 0.297 0.294 0.770
Cl3 0.706 0.003 0.770
Cl4 0.706 0.703 0.230
Cl5 0.997 0.294 0.230
Cl6 0.997 0.703 0.770

***

(5)
# Ta2NiOs, optimized geometry, DFT PBE
# Crystal system ... tetragonal
# Magnetic moment ... 0.00 μB/cell
# Raw total energy ... -41.372 eV/cell
# Formation energy ... -0.164 eV/atom
data_Ta2NiOs
_chemical_formula_sum 'Ta2 Ni1 Os1'
_symmetry_space_group_name_H-M 'P 1'
_symmetry_Int_Tables_number 1
_cell_length_a 3.231
_cell_length_b 3.231
_cell_length_c 5.946
_cell_angle_alpha 90.00
_cell_angle_beta 90.00
_cell_angle_gamma 90.00
loop_
_symmetry_equiv_pos_as_xyz
'x,y,z'
loop_
_atom_site_label
_atom_site_fract_x
_atom_site_fract_y
_atom_site_fract_z
Ta1 0.000 0.000 0.000
Ta2 0.500 0.500 0.305
Ni1 0.000 0.000 0.505
Os1 0.500 0.500 0.762

***

Q: Which value of raw total energy does entry 3 give?
A: -57.371 eV/cell

***

Q: What is the raw total energy in the fifth record?
A: -41.372 eV/cell

***

Q: Among the records above, which one has the highest raw total energy?
A: Ag4SbAu3